1.
Entry from Alexandria via LeMat-Bulk: a PBEsol-optimized structure of AlIn4Re (meta-GGA SCAN).

The space group is F-43m (No. 216) and the conventional cell measures 7.944, 7.944 and 7.944 Å, with angles of 90.00, 90.00 and 90.00 degrees. The asymmetric unit holds Al at (0.000, 0.000, 0.000), In at (0.124, 0.124, 0.376) and Re at (0.250, 0.250, 0.750).

The formation energy is 0.966 eV per atom.

2.
Entry from Alexandria via LeMat-Bulk: a PBEsol-optimized structure of ZnAgMo2 (meta-GGA SCAN).

The space group is Immm (No. 71) and the conventional cell measures 3.687, 3.711 and 8.741 Å, with angles of 90.00, 90.00 and 90.00 degrees. The asymmetric unit holds Zn at (0.000, 0.000, 0.000), Ag at (0.000, 0.000, 0.500) and Mo at (0.000, 0.500, 0.250).

The formation energy is 0.287 eV per atom.

3.
Entry from Alexandria via LeMat-Bulk: a PBEsol-optimized structure of Fe3Ag (meta-GGA SCAN).

The space group is C2/m (No. 12) and the conventional cell measures 8.573, 2.567 and 4.651 Å, with angles of 90.00, 98.00 and 90.00 degrees. The asymmetric unit holds Fe at (0.000, 0.000, 0.000), Fe at (0.249, 0.500, 0.235) and Ag at (0.000, 0.500, 0.500).

The formation energy is 0.267 eV per atom.

4.
Entry from Alexandria via LeMat-Bulk: a PBEsol-optimized structure of Sr7ZrN6 (meta-GGA SCAN).

The space group is Pbcn (No. 60) and the conventional cell measures 12.225, 6.732 and 13.635 Å, with angles of 90.00, 90.00 and 90.00 degrees. The asymmetric unit holds Sr at (0.000, 0.015, 0.250), Sr at (0.043, 0.224, 0.505), Sr at (0.221, 0.380, 0.120), Sr at (0.226, 0.357, 0.871), Zr at (0.000, 0.485, 0.750), N at (0.096, 0.326, 0.333), N at (0.113, 0.295, 0.683) and N at (0.158, 0.105, 0.998).

The value obtained for the formation energy from raw total energies is -0.97 eV/atom.

5.
Entry from Alexandria via LeMat-Bulk: a PBEsol-optimized structure of ScSbMo3 (meta-GGA SCAN).

The space group is Pm-3m (No. 221) and the conventional cell measures 4.842, 4.842 and 4.842 Å, with angles of 90.00, 90.00 and 90.00 degrees. The asymmetric unit holds Sc at (0.000, 0.000, 0.000), Sb at (0.500, 0.500, 0.500) and Mo at (0.000, 0.500, 0.500).

The value obtained for the formation energy from raw total energies is 1.61 eV/atom.

6.
Entry from Alexandria via LeMat-Bulk: a PBEsol-optimized structure of K3TmCl6 (meta-GGA SCAN).

The space group is Fm-3m (No. 225) and the conventional cell measures 10.920, 10.920 and 10.920 Å, with angles of 90.00, 90.00 and 90.00 degrees. The asymmetric unit holds K at (0.000, 0.000, 0.000), K at (0.250, 0.250, 0.250), Tm at (0.000, 0.000, 0.500) and Cl at (0.000, 0.000, 0.266).

The value obtained for the formation energy from raw total energies is -2.29 eV/atom.

7.
Entry from Alexandria via LeMat-Bulk: a PBEsol-optimized structure of Te2IrPt2 (meta-GGA SCAN).

The space group is P4/mmm (No. 123) and the conventional cell measures 5.027, 5.027 and 4.785 Å, with angles of 90.00, 90.00 and 90.00 degrees. The asymmetric unit holds Te at (0.000, 0.500, 0.000), Ir at (0.000, 0.000, 0.000), Pt at (0.000, 0.000, 0.500) and Pt at (0.500, 0.500, 0.500).

The value obtained for the formation energy from raw total energies is 1.17 eV/atom.

8.
Entry from Alexandria via LeMat-Bulk: a PBEsol-optimized structure of TaCrNi (meta-GGA SCAN).

The space group is Amm2 (No. 38) and the conventional cell measures 7.766, 4.729 and 8.441 Å, with angles of 90.00, 90.00 and 90.00 degrees. The asymmetric unit holds Ta at (0.188, 0.000, 0.000), Ta at (0.311, 0.000, 0.329), Cr at (0.251, 0.000, 0.663), Cr at (0.500, 0.250, 0.082), Ni at (0.000, 0.000, 0.494), Ni at (0.000, 0.247, 0.247) and Ni at (0.500, 0.000, 0.839).

For the polymorph energy (0 for the lowest one), the calculation gives 0 meV/atom. The formation energy is -0.144 eV per atom.

no.,VASP energy (eV/atom),total magnetization (μB per formula unit)
1,-34.434,0.0
2,-28.376,0.0
3,-21.172,8.4
4,-18.281,0.0
5,-29.624,0.0
6,-14.760,0.0
7,-56.025,0.0
8,-33.858,0.0